[1]
Compound: Mn2CoN
Source: Alexandria via LeMat-Bulk
Functional: GGA-PBE
Structure: relaxed

Lattice parameters (Å, degrees): 2.7792 2.7792 6.4591 77.58 77.58 60.00
Last column: nearest neighbours and their distance in Å.
Fractional coordinates of all 4 atoms:
Mn: 0.7721 0.7721 0.6837  3 N 1.97
Mn: 0.2279 0.2279 0.3163  3 N 1.97
Co: 0.0000 0.0000 0.0000  6 Mn 2.55, 6 Co 2.78
N: 0.5000 0.5000 0.5000  6 Mn 1.97

Output
raw formation energy	-103	meV/atom
electronic total energy	-8.546	eV/atom
DOS at the Fermi energy	2.7	states/eV/cell
total moment	6.65	Bohr magnetons per cell

---

[2]
Compound: LiZn2Mo
Source: Alexandria via LeMat-Bulk
Functional: GGA-PBE
Structure: relaxed

Lattice parameters (Å, degrees): 5.1902 5.1902 4.8623 72.22 72.22 28.80
Last column: nearest neighbours and their distance in Å.
Fractional coordinates of all 4 atoms:
Li: 0.4851 0.4851 0.5717  2 Li 2.58, 7 Zn 2.68-2.85
Mo: 0.2664 0.2664 0.1707  2 Mo 2.58, 7 Zn 2.70-2.80
Zn: 0.0134 0.0134 0.0730  4 Zn 2.58-2.75, 4 Li 2.68-2.85, 3 Mo 2.70-2.73
Zn: 0.7351 0.7351 0.6846  4 Zn 2.58-2.75, 3 Li 2.72-2.74, 4 Mo 2.74-2.80

Output
electronic total energy	-3.763	eV/atom
DOS at the Fermi energy	2.7	states/eV/cell
energy of formation	61	meV per atom
total moment	0.00	Bohr magnetons per cell

---

[3]
Compound: Ba2TlZnRh
Source: Alexandria via LeMat-Bulk
Functional: GGA-PBE
Structure: relaxed

Lattice parameters (Å, degrees): 5.9961 5.9961 5.2919 90.00 90.00 90.00
Last column: nearest neighbours and their distance in Å.
Fractional coordinates of all 5 atoms:
Zn: 0.5000 0.5000 0.5000  8 Ba 4.00, 4 Tl 4.24
Tl: 0.0000 0.0000 0.5000  2 Rh 2.65
Rh: 0.0000 0.0000 0.0000  2 Tl 2.65
Ba: 0.0000 0.5000 0.0000  2 Rh 3.00
Ba: 0.5000 0.0000 0.0000  2 Rh 3.00

Output
electronic total energy	-3.104	eV/atom
DOS at the Fermi energy	3.1	states/eV/cell
energy of formation	-136	meV per atom
total moment	0.00	Bohr magnetons per cell